SmBW | PBE-GGA | optimized geometry

Values from the calculation:
- energy relative to the elements (eV per atom) = -0.0530
- M_tot (Bohr magnetons per cell) = 0.00
- ρ (g cm⁻³) = 9.20

Cell lengths 3.3552, 4.3064, 8.7807 Å; angles 90.00, 101.01, 90.00 degrees
With the nearest neighbours (Å) after each atom.
Fractional positions:
W1 0.7161 0.2500 0.4322  4 B 2.17-2.20
W2 0.2839 0.7500 0.5678  4 B 2.17-2.20
B1 0.2991 0.2500 0.5981  4 W 2.17-2.20
B2 0.7009 0.7500 0.4019  4 W 2.17-2.20
Sm1 0.0933 0.7500 0.1865  2 B 2.50
Sm2 0.9067 0.2500 0.8135  2 B 2.50